(1)
# Al6Tl

An optimized crystal structure of Al6Tl (PBE, the Alexandria database).

Output
- N(E_F) (states/eV per cell) = 4.03
- SG = No. 229
- DFT total energy (eV per cell) = -20.807

Unit cell a=6.3802 b=6.3802 c=6.3802 alpha=109.47 beta=109.47 gamma=109.47
Last column: nearest neighbours and their distance in Å.
Sites, in units of the cell vectors:
Al1 0.2500 0.5000 0.7500  4 Al 2.60
Al2 0.2500 0.7500 0.5000  4 Al 2.60
Al3 0.5000 0.2500 0.7500  4 Al 2.60
Al4 0.5000 0.7500 0.2500  4 Al 2.60
Al5 0.7500 0.2500 0.5000  4 Al 2.60
Al6 0.7500 0.5000 0.2500  4 Al 2.60
Tl1 0.0000 0.0000 0.0000  24 Al 4.12


(2)
# AlTl3

An optimized crystal structure of AlTl3 (PBE, the Alexandria database).

Output
- N(E_F) (states/eV per cell) = 5.87
- polymorph energy (0 for the lowest one) (meV/atom) = 10
- SG = No. 62

Unit cell a=7.6556 b=9.5265 c=6.1728 alpha=90.00 beta=90.00 gamma=90.00
Last column: nearest neighbours and their distance in Å.
Sites, in units of the cell vectors:
Al1 0.1116 0.2500 0.0704  8 Tl 3.02-3.17
Al2 0.3884 0.7500 0.5704  8 Tl 3.02-3.17
Al3 0.6116 0.2500 0.4296  8 Tl 3.02-3.17
Al4 0.8884 0.7500 0.9296  8 Tl 3.02-3.17
Tl1 0.0210 0.7500 0.3909  2 Al 3.02
Tl2 0.1899 0.5491 0.8668  3 Al 3.02-3.17, 2 Tl 3.35
Tl3 0.1899 0.9509 0.8668  3 Al 3.02-3.17, 2 Tl 3.35
Tl4 0.3101 0.0491 0.3668  3 Al 3.02-3.17, 2 Tl 3.35
Tl5 0.3101 0.4509 0.3668  3 Al 3.02-3.17, 2 Tl 3.35
Tl6 0.4790 0.2500 0.8909  2 Al 3.02
Tl7 0.5210 0.7500 0.1091  2 Al 3.02
Tl8 0.6899 0.5491 0.6332  3 Al 3.02-3.17, 2 Tl 3.35
Tl9 0.6899 0.9509 0.6332  3 Al 3.02-3.17, 2 Tl 3.35
Tl10 0.8101 0.0491 0.1332  3 Al 3.02-3.17, 2 Tl 3.35
Tl11 0.8101 0.4509 0.1332  3 Al 3.02-3.17, 2 Tl 3.35
Tl12 0.9790 0.2500 0.6091  2 Al 3.02


(3)
# AlTl2

An optimized crystal structure of AlTl2 (PBE, the Alexandria database).

Output
- N(E_F) (states/eV per cell) = 0.66
- polymorph energy (0 for the lowest one) (meV/atom) = 79
- SG = No. 194

Unit cell a=5.3401 b=5.3401 c=6.5340 alpha=90.00 beta=90.00 gamma=120.00
Last column: nearest neighbours and their distance in Å.
Sites, in units of the cell vectors:
Al1 0.3333 0.6667 0.2500  5 Tl 3.08-3.27
Al2 0.6667 0.3333 0.7500  5 Tl 3.08-3.27
Tl1 0.0000 0.0000 0.0000  8 Tl 3.27-3.49, 6 Al 3.49
Tl2 0.0000 0.0000 0.5000  8 Tl 3.27-3.49, 6 Al 3.49
Tl3 0.3333 0.6667 0.7500  5 Al 3.08-3.27
Tl4 0.6667 0.3333 0.2500  5 Al 3.08-3.27


(4)
# AlTl2

An optimized crystal structure of AlTl2 (PBE, the Alexandria database).

Output
- N(E_F) (states/eV per cell) = 1.97
- polymorph energy (0 for the lowest one) (meV/atom) = 17
- SG = No. 8

Unit cell a=6.2781 b=6.2781 c=8.1827 alpha=101.48 beta=101.48 gamma=30.93
Last column: nearest neighbours and their distance in Å.
Sites, in units of the cell vectors:
Al1 0.0000 0.0000 0.0000  2 Al 2.74, 3 Tl 2.97-3.04
Al2 0.6513 0.6513 0.1966  2 Al 2.74
Tl1 0.2115 0.2115 0.5200  2 Al 3.09, 4 Tl 3.32-3.42
Tl2 0.2655 0.2655 0.9347  5 Al 3.24-3.36, 3 Tl 3.32-3.35
Tl3 0.4952 0.4952 0.6883  2 Al 3.04, 2 Tl 3.35
Tl4 0.9143 0.9143 0.3147  2 Al 2.97-3.13


(5)
# Al7Tl

An optimized crystal structure of Al7Tl (PBE, the Alexandria database).

Output
- N(E_F) (states/eV per cell) = 5.22
- SG = No. 225
- DFT total energy (eV per cell) = -27.003

Unit cell a=5.9329 b=5.9329 c=5.9329 alpha=60.00 beta=60.00 gamma=60.00
Last column: nearest neighbours and their distance in Å.
Sites, in units of the cell vectors:
Al1 0.0000 0.0000 0.0000  12 Al 2.97
Al2 0.0000 0.0000 0.5000  10 Al 2.97, 2 Tl 2.97
Al3 0.0000 0.5000 0.0000  10 Al 2.97, 2 Tl 2.97
Al4 0.0000 0.5000 0.5000  2 Tl 2.97, 10 Al 2.97
Al5 0.5000 0.0000 0.0000  10 Al 2.97, 2 Tl 2.97
Al6 0.5000 0.0000 0.5000  2 Tl 2.97, 10 Al 2.97
Al7 0.5000 0.5000 0.0000  2 Tl 2.97, 10 Al 2.97
Tl1 0.5000 0.5000 0.5000  12 Al 2.97


(6)
# AlTl3

An optimized crystal structure of AlTl3 (PBE, the Alexandria database).

Output
- N(E_F) (states/eV per cell) = 2.81
- polymorph energy (0 for the lowest one) (meV/atom) = 76
- SG = No. 223

Unit cell a=6.0999 b=6.0999 c=6.0999 alpha=90.00 beta=90.00 gamma=90.00
Last column: nearest neighbours and their distance in Å.
Sites, in units of the cell vectors:
Al1 0.0000 0.0000 0.0000  12 Tl 3.41
Al2 0.5000 0.5000 0.5000  12 Tl 3.41
Tl1 0.0000 0.2500 0.5000  2 Tl 3.05, 4 Al 3.41
Tl2 0.0000 0.7500 0.5000  2 Tl 3.05, 4 Al 3.41
Tl3 0.2500 0.5000 0.0000  2 Tl 3.05, 4 Al 3.41
Tl4 0.5000 0.0000 0.2500  2 Tl 3.05, 4 Al 3.41
Tl5 0.5000 0.0000 0.7500  2 Tl 3.05, 4 Al 3.41
Tl6 0.7500 0.5000 0.0000  2 Tl 3.05, 4 Al 3.41


(7)
# AlTl3

An optimized crystal structure of AlTl3 (PBE, the Alexandria database).

Output
- N(E_F) (states/eV per cell) = 2.20
- polymorph energy (0 for the lowest one) (meV/atom) = 31
- SG = No. 71

Unit cell a=6.4293 b=6.4293 c=6.4293 alpha=146.67 beta=129.61 gamma=61.76
Last column: nearest neighbours and their distance in Å.
Sites, in units of the cell vectors:
Al1 0.0000 0.0000 0.0000  8 Tl 3.09-3.30
Tl1 0.2245 0.7245 0.5000  2 Al 3.09, 4 Tl 3.35
Tl2 0.5000 0.5000 0.0000  4 Al 3.30, 10 Tl 3.56-3.69
Tl3 0.7755 0.2755 0.5000  2 Al 3.09, 4 Tl 3.35


(8)
# AlTl6

An optimized crystal structure of AlTl6 (PBE, the Alexandria database).

Output
- N(E_F) (states/eV per cell) = 3.81
- SG = No. 229
- DFT total energy (eV per cell) = -13.820

Unit cell a=7.3757 b=7.3757 c=7.3757 alpha=109.47 beta=109.47 gamma=109.47
Last column: nearest neighbours and their distance in Å.
Sites, in units of the cell vectors:
Al1 0.0000 0.0000 0.0000  24 Tl 4.76
Tl1 0.2500 0.5000 0.7500  4 Tl 3.01
Tl2 0.2500 0.7500 0.5000  4 Tl 3.01
Tl3 0.5000 0.2500 0.7500  4 Tl 3.01
Tl4 0.5000 0.7500 0.2500  4 Tl 3.01
Tl5 0.7500 0.2500 0.5000  4 Tl 3.01
Tl6 0.7500 0.5000 0.2500  4 Tl 3.01